# 1
Material: Sc2BW
Method: DFT, GGA-PBEsol
State: relaxed

Geometry as CIF:
```
data_Sc2BW
_chemical_formula_sum 'Sc2 B1 W1'
_cell_length_a 8.9017
_cell_length_b 8.9017
_cell_length_c 8.9017
_cell_angle_alpha 19.12
_cell_angle_beta 19.12
_cell_angle_gamma 19.12
_space_group_name_H-M_alt 'P 1'
_space_group_IT_number 1
_space_group_name_Hall 'P 1'
loop_
_atom_site_label
_atom_site_type_symbol
_atom_site_fract_x
_atom_site_fract_y
_atom_site_fract_z
Sc1 Sc 0.1043 0.1043 0.1043
Sc2 Sc 0.8957 0.8957 0.8957
B1 B 0.5000 0.5000 0.5000
W1 W 0.0000 0.0000 0.0000
```

## Properties
Formation energy from the elements, kJ/mol of formula units: 222
Crystal system: trigonal



# 2
Material: Mn3NiP4O16
Method: DFT, GGA-PBEsol
State: relaxed

Geometry as CIF:
```
data_Mn3NiP4O16
_chemical_formula_sum 'Mn3 Ni1 P4 O16'
_cell_length_a 4.7206
_cell_length_b 5.7412
_cell_length_c 9.6474
_cell_angle_alpha 90.00
_cell_angle_beta 90.26
_cell_angle_gamma 90.00
_space_group_name_H-M_alt 'P 1'
_space_group_IT_number 1
_space_group_name_Hall 'P 1'
loop_
_atom_site_label
_atom_site_type_symbol
_atom_site_fract_x
_atom_site_fract_y
_atom_site_fract_z
Mn1 Mn 0.0000 0.0000 0.0000
Mn2 Mn 0.1153 0.5000 0.4469
Mn3 Mn 0.6221 0.0000 0.5049
Ni1 Ni 0.5015 0.5000 0.9554
P1 P 0.1553 0.0000 0.3183
P2 P 0.4480 0.0000 0.8219
P3 P 0.6581 0.5000 0.6351
P4 P 0.9606 0.5000 0.1335
O1 O 0.2149 0.0000 0.1626
O2 O 0.2790 0.5000 0.1201
O3 O 0.2918 0.2074 0.8944
O4 O 0.2918 0.7926 0.8944
O5 O 0.3076 0.2083 0.3925
O6 O 0.3076 0.7917 0.3925
O7 O 0.3377 0.5000 0.6064
O8 O 0.3985 0.0000 0.6642
O9 O 0.7213 0.5000 0.7879
O10 O 0.7696 0.0000 0.8448
O11 O 0.8069 0.2894 0.0587
O12 O 0.8069 0.7106 0.0587
O13 O 0.8101 0.2926 0.5570
O14 O 0.8101 0.7074 0.5570
O15 O 0.8350 0.0000 0.3425
O16 O 0.8850 0.5000 0.2895
```

## Properties
Crystal system: monoclinic
E_form (uncorrected), meV/atom: -1850